This record from Alexandria via LeMat-Bulk describes an optimized crystal structure of V2GePtRh. The functional is PBE-GGA.

Output
relative energy among the computed polymorphs	0	kJ/mol of formula units
DFT formation energy	0.9356	eV per atom
spin magnetization	1.5	μB/f.u.
raw total energy	-6.314	eV/atom
calculated density	8.74	Mg/m³

a b c (Å): 4.4742 4.4872 4.4742
angles (deg): 90.00 90.00 90.00
Each line ends with the local moment (μB).
Sites, in units of the cell vectors:
V  0.5000  0.0000  0.0000  0.27
V  0.0000  0.0000  0.5000  0.50
Rh  0.5000  0.5000  0.5000  0.55
Ge  0.0000  0.0000  0.0000  0.01
Pt  0.0000  0.5000  0.0000  0.09

This record from Alexandria via LeMat-Bulk describes an optimized crystal structure of Y2Ge4PtRh3. The functional is PBE-GGA.

Output
DFT formation energy	-0.8586	eV per atom
spin magnetization	0.0	μB/f.u.
raw total energy	-6.808	eV/atom
calculated density	8.94	Mg/m³

a b c (Å): 4.1835 4.1835 10.3143
angles (deg): 90.00 90.00 90.00
Sites, in units of the cell vectors:
Y  0.5000  0.0000  0.2420
Y  0.0000  0.5000  0.7580
Pt  0.5000  0.5000  0.5000
Ge  0.5000  0.5000  0.0000
Ge  0.0000  0.5000  0.3617
Ge  0.5000  0.0000  0.6383
Ge  0.0000  0.0000  0.0000
Rh  0.5000  0.0000  0.8713
Rh  0.0000  0.0000  0.5000
Rh  0.0000  0.5000  0.1287

This record from Alexandria via LeMat-Bulk describes an optimized crystal structure of YGe2Pt2Rh. The functional is PBE-GGA.

Output
DFT formation energy	-0.8176	eV per atom
spin magnetization	0.0	μB/f.u.
raw total energy	-6.673	eV/atom
calculated density	11.50	Mg/m³

a b c (Å): 4.3469 4.3469 6.4175
angles (deg): 90.00 90.00 120.00
Sites, in units of the cell vectors:
Ge  0.3333  0.6667  0.3051
Ge  0.6667  0.3333  0.6949
Pt  0.3333  0.6667  0.7182
Pt  0.6667  0.3333  0.2818
Y  0.0000  0.0000  0.0000
Rh  0.0000  0.0000  0.5000

This record from Alexandria via LeMat-Bulk describes an optimized crystal structure of GeRuPt2. The functional is PBE-GGA.

Output
DFT formation energy	-0.1546	eV per atom
spin magnetization	0.0	μB/f.u.
raw total energy	-6.648	eV/atom
calculated density	15.17	Mg/m³

a b c (Å): 6.7500 4.0996 9.2515
angles (deg): 90.00 105.35 90.00
Sites, in units of the cell vectors:
Pt  0.9996  0.5000  0.6421
Pt  0.0004  0.0000  0.8579
Pt  0.9996  0.0000  0.1421
Pt  0.3055  0.0000  0.4137
Pt  0.6945  0.5000  0.0863
Pt  0.6945  0.0000  0.5863
Pt  0.3055  0.5000  0.9137
Pt  0.0004  0.5000  0.3579
Ge  0.7718  0.5000  0.8310
Ge  0.2282  0.0000  0.6690
Ge  0.2282  0.5000  0.1690
Ge  0.7718  0.0000  0.3310
Ru  0.4406  0.5000  0.6283
Ru  0.4406  0.0000  0.1283
Ru  0.5594  0.0000  0.8717
Ru  0.5594  0.5000  0.3717

This record from Alexandria via LeMat-Bulk describes an optimized crystal structure of GeRuPt2. The functional is PBE-GGA.

Output
DFT formation energy	-0.1408	eV per atom
spin magnetization	0.0	μB/f.u.
raw total energy	-6.635	eV/atom
calculated density	15.09	Mg/m³

a b c (Å): 5.4197 3.8432 6.2299
angles (deg): 90.00 106.98 90.00
Sites, in units of the cell vectors:
Ru  0.8965  0.0000  0.7500
Ru  0.4318  0.0000  0.8411
Ge  0.5997  0.5000  0.5605
Ge  0.2427  0.5000  0.9764
Pt  0.7866  0.5000  0.0258
Pt  0.7063  0.0000  0.3127
Pt  0.1318  0.5000  0.5298
Pt  0.1815  0.0000  0.2214

This record from Alexandria via LeMat-Bulk describes an optimized crystal structure of Ge2RuPt2. The functional is PBE-GGA.

Output
DFT formation energy	-0.0642	eV per atom
spin magnetization	0.0	μB/f.u.
raw total energy	-6.183	eV/atom
calculated density	13.53	Mg/m³

a b c (Å): 6.8549 6.8549 3.3260
angles (deg): 90.00 90.00 90.00
Sites, in units of the cell vectors:
Pt  0.8532  0.3532  0.5000
Pt  0.1468  0.6468  0.5000
Pt  0.3532  0.1468  0.5000
Pt  0.6468  0.8532  0.5000
Ge  0.3458  0.8458  0.0000
Ge  0.1542  0.3458  0.0000
Ge  0.8458  0.6542  0.0000
Ge  0.6542  0.1542  0.0000
Ru  0.0000  0.0000  0.0000
Ru  0.5000  0.5000  0.0000

This record from Alexandria via LeMat-Bulk describes an optimized crystal structure of GeRu3Pt. The functional is PBE-GGA.

Output
relative energy among the computed polymorphs	293	kJ/mol of formula units
DFT formation energy	1.8570	eV per atom
spin magnetization	3.5	μB/f.u.
raw total energy	-5.840	eV/atom
calculated density	8.70	Mg/m³

a b c (Å): 4.7764 4.7764 4.7764
angles (deg): 90.00 90.00 90.00
Each line ends with the local moment (μB).
Sites, in units of the cell vectors:
Pt  0.0000  0.0000  0.0000  0.31
Ge  0.5000  0.5000  0.5000  -0.07
Ru  0.5000  0.0000  0.0000  0.67
Ru  0.0000  0.0000  0.5000  1.58
Ru  0.0000  0.5000  0.0000  1.03

This record from Alexandria via LeMat-Bulk describes an optimized crystal structure of GeRuPt2. The functional is PBE-GGA.

Output
DFT formation energy	0.5105	eV per atom
spin magnetization	0.0	μB/f.u.
raw total energy	-5.983	eV/atom
calculated density	11.29	Mg/m³

a b c (Å): 4.8934 4.8934 7.7451
angles (deg): 71.58 71.58 90.00
Sites, in units of the cell vectors:
Pt  0.8750  0.8678  0.7500
Pt  0.1322  0.6250  0.2500
Pt  0.6178  0.1250  0.2500
Pt  0.3750  0.3822  0.7500
Ru  0.0000  0.0000  0.0000
Ru  0.7500  0.2500  0.5000
Ge  0.5000  0.5000  0.0000
Ge  0.2500  0.7500  0.5000

This record from Alexandria via LeMat-Bulk describes an optimized crystal structure of GeRuPt2. The functional is PBE-GGA.

Output
DFT formation energy	-0.1421	eV per atom
spin magnetization	0.0	μB/f.u.
raw total energy	-6.636	eV/atom
calculated density	15.40	Mg/m³

a b c (Å): 5.8008 7.5119 5.6193
angles (deg): 90.00 96.53 90.00
Sites, in units of the cell vectors:
Ge  0.7867  0.5000  0.2483
Ge  0.2133  0.0000  0.2517
Ge  0.7867  0.0000  0.7483
Ge  0.2133  0.5000  0.7517
Ru  0.5000  0.6920  0.0000
Ru  0.5000  0.3080  0.0000
Ru  0.5000  0.1920  0.5000
Ru  0.5000  0.8080  0.5000
Pt  0.7149  0.5000  0.6786
Pt  0.0000  0.2671  0.0000
Pt  0.7149  0.0000  0.1786
Pt  0.0000  0.7329  0.0000
Pt  0.0000  0.7671  0.5000
Pt  0.2851  0.5000  0.3214
Pt  0.0000  0.2329  0.5000
Pt  0.2851  0.0000  0.8214

This record from Alexandria via LeMat-Bulk describes an optimized crystal structure of Ge4RuPt2. The functional is PBE-GGA.

Output
DFT formation energy	0.1201	eV per atom
spin magnetization	0.0	μB/f.u.
raw total energy	-5.569	eV/atom
calculated density	9.09	Mg/m³

a b c (Å): 4.8312 4.8312 7.0068
angles (deg): 69.83 69.83 90.00
Sites, in units of the cell vectors:
Ge  0.5000  0.0000  0.0000
Ge  0.0000  0.5000  0.0000
Ge  0.8043  0.8043  0.3913
Ge  0.1957  0.1957  0.6087
Pt  0.6118  0.6118  0.7765
Pt  0.3882  0.3882  0.2235
Ru  0.0000  0.0000  0.0000

This record from Alexandria via LeMat-Bulk describes an optimized crystal structure of GeRu3Pt. The functional is PBE-GGA.

Output
relative energy among the computed polymorphs	0	kJ/mol of formula units
DFT formation energy	1.2499	eV per atom
spin magnetization	0.3	μB/f.u.
raw total energy	-6.447	eV/atom
calculated density	10.69	Mg/m³

a b c (Å): 4.4601 4.4601 4.4601
angles (deg): 90.00 90.00 90.00
Each line ends with the local moment (μB).
Sites, in units of the cell vectors:
Ge  0.0000  0.0000  0.0000  -0.01
Pt  0.5000  0.5000  0.5000  0.02
Ru  0.0000  0.0000  0.5000  0.05
Ru  0.5000  0.0000  0.0000  0.10
Ru  0.0000  0.5000  0.0000  0.08

This record from Alexandria via LeMat-Bulk describes an optimized crystal structure of Ge2RuPt. The functional is PBE-GGA.

Output
relative energy among the computed polymorphs	111	kJ/mol of formula units
DFT formation energy	0.1197	eV per atom
spin magnetization	0.0	μB/f.u.
raw total energy	-6.018	eV/atom
calculated density	8.52	Mg/m³

a b c (Å): 5.5619 5.5619 6.8097
angles (deg): 65.90 65.90 90.00
Sites, in units of the cell vectors:
Ge  0.8750  0.8655  0.7500
Ge  0.1345  0.6250  0.2500
Ge  0.3750  0.3845  0.7500
Ge  0.6155  0.1250  0.2500
Pt  0.7500  0.2500  0.5000
Pt  0.0000  0.0000  0.0000
Ru  0.5000  0.5000  0.0000
Ru  0.2500  0.7500  0.5000

This record from Alexandria via LeMat-Bulk describes an optimized crystal structure of Ge2Ru2Pt. The functional is PBE-GGA.

Output
DFT formation energy	-0.0987	eV per atom
spin magnetization	0.0	μB/f.u.
raw total energy	-6.864	eV/atom
calculated density	11.99	Mg/m³

a b c (Å): 7.1614 7.1614 2.9302
angles (deg): 90.00 90.00 90.00
Sites, in units of the cell vectors:
Ru  0.8593  0.6407  0.0000
Ru  0.6407  0.1407  0.0000
Ru  0.1407  0.3593  0.0000
Ru  0.3593  0.8593  0.0000
Pt  0.5000  0.5000  0.0000
Pt  0.0000  0.0000  0.0000
Ge  0.1581  0.6581  0.5000
Ge  0.6581  0.8419  0.5000
Ge  0.3419  0.1581  0.5000
Ge  0.8419  0.3419  0.5000

This record from Alexandria via LeMat-Bulk describes an optimized crystal structure of GeRuPt2. The functional is PBE-GGA.

Output
DFT formation energy	-0.1511	eV per atom
spin magnetization	0.0	μB/f.u.
raw total energy	-6.645	eV/atom
calculated density	15.39	Mg/m³

a b c (Å): 5.8453 7.3862 5.6771
angles (deg): 90.00 96.80 90.00
Sites, in units of the cell vectors:
Ge  0.3050  0.0000  0.7548
Ge  0.3050  0.5000  0.2548
Ge  0.6950  0.0000  0.2452
Ge  0.6950  0.5000  0.7452
Pt  0.0000  0.1905  0.5000
Pt  0.7749  0.5000  0.3295
Pt  0.2251  0.0000  0.1705
Pt  0.0000  0.3095  0.0000
Pt  0.7749  0.0000  0.8295
Pt  0.0000  0.6905  0.0000
Pt  0.0000  0.8095  0.5000
Pt  0.2251  0.5000  0.6705
Ru  0.5000  0.2823  0.0000
Ru  0.5000  0.7177  0.0000
Ru  0.5000  0.2177  0.5000
Ru  0.5000  0.7823  0.5000

This record from Alexandria via LeMat-Bulk describes an optimized crystal structure of GeRuPt2. The functional is PBE-GGA.

Output
DFT formation energy	-0.1603	eV per atom
spin magnetization	0.0	μB/f.u.
raw total energy	-6.654	eV/atom
calculated density	15.33	Mg/m³

a b c (Å): 11.7010 7.3940 5.6464
angles (deg): 90.00 90.00 90.00
Sites, in units of the cell vectors:
Ru  0.5000  0.2028  0.1235
Ru  0.0000  0.2972  0.1235
Ru  0.0000  0.7972  0.6235
Ru  0.5000  0.7972  0.1235
Ru  0.0000  0.7028  0.1235
Ru  0.5000  0.2972  0.6235
Ru  0.5000  0.7028  0.6235
Ru  0.0000  0.2028  0.6235
Pt  0.2500  0.2500  0.1811
Pt  0.1158  0.0000  0.9453
Pt  0.7500  0.2500  0.1811
Pt  0.7500  0.7500  0.1811
Pt  0.7500  0.2500  0.6811
Pt  0.6158  0.5000  0.9453
Pt  0.2500  0.7500  0.6811
Pt  0.3842  0.5000  0.9453
Pt  0.2500  0.2500  0.6811
Pt  0.1158  0.5000  0.4453
Pt  0.2500  0.7500  0.1811
Pt  0.6158  0.0000  0.4453
Pt  0.8842  0.0000  0.9453
Pt  0.7500  0.7500  0.6811
Pt  0.8842  0.5000  0.4453
Pt  0.3842  0.0000  0.4453
Ge  0.3638  0.5000  0.4027
Ge  0.6362  0.5000  0.4027
Ge  0.8638  0.0000  0.4027
Ge  0.3638  0.0000  0.9027
Ge  0.1362  0.0000  0.4027
Ge  0.1362  0.5000  0.9027
Ge  0.8638  0.5000  0.9027
Ge  0.6362  0.0000  0.9027

This record from Alexandria via LeMat-Bulk describes an optimized crystal structure of GeRuPt2. The functional is PBE-GGA.

Output
DFT formation energy	-0.1754	eV per atom
spin magnetization	0.0	μB/f.u.
raw total energy	-6.669	eV/atom
calculated density	15.23	Mg/m³

a b c (Å): 4.5132 4.9031 5.6403
angles (deg): 90.00 99.89 90.00
Sites, in units of the cell vectors:
Pt  0.5352  0.7309  0.1666
Pt  0.9168  0.0084  0.6038
Pt  0.4648  0.2309  0.8334
Pt  0.0832  0.5084  0.3962
Ru  0.0184  0.0352  0.0973
Ru  0.9816  0.5352  0.9027
Ge  0.4688  0.7371  0.7030
Ge  0.5312  0.2371  0.2970

This record from Alexandria via LeMat-Bulk describes an optimized crystal structure of GeRuPt2. The functional is PBE-GGA.

Output
DFT formation energy	-0.1399	eV per atom
spin magnetization	0.0	μB/f.u.
raw total energy	-6.634	eV/atom
calculated density	15.35	Mg/m³

a b c (Å): 2.8487 7.8247 5.4745
angles (deg): 90.00 90.00 90.00
Sites, in units of the cell vectors:
Ge  0.0000  0.5000  0.7534
Ge  0.0000  0.0000  0.2534
Pt  0.5000  0.2851  0.5135
Pt  0.5000  0.2149  0.0135
Pt  0.5000  0.7851  0.0135
Pt  0.5000  0.7149  0.5135
Ru  0.0000  0.5000  0.1959
Ru  0.0000  0.0000  0.6959

This record from Alexandria via LeMat-Bulk describes an optimized crystal structure of GeRuPt2. The functional is PBE-GGA.

Output
DFT formation energy	-0.2041	eV per atom
spin magnetization	0.0	μB/f.u.
raw total energy	-6.698	eV/atom
calculated density	15.51	Mg/m³

a b c (Å): 7.5378 7.9574 4.0263
angles (deg): 90.00 90.00 90.00
Sites, in units of the cell vectors:
Ge  0.0000  0.5000  0.5000
Ge  0.5000  0.0000  0.5000
Ge  0.0000  0.0000  0.5000
Ge  0.5000  0.5000  0.5000
Ru  0.8094  0.5000  0.0000
Ru  0.6906  0.0000  0.0000
Ru  0.3094  0.0000  0.0000
Ru  0.1906  0.5000  0.0000
Pt  0.5000  0.3009  0.0000
Pt  0.0000  0.1991  0.0000
Pt  0.5000  0.6991  0.0000
Pt  0.0000  0.8009  0.0000
Pt  0.7500  0.7500  0.5000
Pt  0.2500  0.7500  0.5000
Pt  0.7500  0.2500  0.5000
Pt  0.2500  0.2500  0.5000

This record from Alexandria via LeMat-Bulk describes an optimized crystal structure of Ge2RuPt. The functional is PBE-GGA.

Output
relative energy among the computed polymorphs	48	kJ/mol of formula units
DFT formation energy	-0.0423	eV per atom
spin magnetization	1.2	μB/f.u.
raw total energy	-6.180	eV/atom
calculated density	12.01	Mg/m³

a b c (Å): 4.4200 4.4200 4.4200
angles (deg): 60.00 60.00 60.00
Each line ends with the local moment (μB).
Sites, in units of the cell vectors:
Ru  0.0000  0.0000  0.0000  0.79
Ge  0.2500  0.2500  0.2500  0.03
Ge  0.7500  0.7500  0.7500  0.03
Pt  0.5000  0.5000  0.5000  0.25

This record from Alexandria via LeMat-Bulk describes an optimized crystal structure of GeRuPt2. The functional is PBE-GGA.

Output
DFT formation energy	-0.1522	eV per atom
spin magnetization	0.0	μB/f.u.
raw total energy	-6.646	eV/atom
calculated density	15.22	Mg/m³

a b c (Å): 4.5728 4.9255 5.5637
angles (deg): 90.67 100.92 90.11
Sites, in units of the cell vectors:
Ru  0.0319  0.3787  0.8131
Ru  0.4814  0.1920  0.5567
Pt  0.5808  0.1666  0.0551
Pt  0.5179  0.6843  0.7554
Pt  0.4049  0.6593  0.2454
Pt  0.9580  0.8839  0.4848
Ge  0.9757  0.3911  0.3568
Ge  0.0262  0.9011  0.9503